(1)
The following is a DFT calculation (PBE-GGA) of a relaxed CsK2Na crystal.

The value obtained for the offset from the most stable computed form is 22 meV per atom. The formation enthalpy at 0 K comes out at 0.04 eV per atom. The electronic total energy comes out at -1.0556 eV per atom. As for the space group: P4/mmm (123). The mass density comes out at 1.36 g/cm3.

Cell: 7.001 6.397 6.397 Å, 90.00 90.00 90.00°
Element x y z (fractional)
Cs 0.500 0.500 0.500
Na 0.500 0.000 0.000
K 0.000 0.000 0.500
K 0.000 0.500 0.000

=====

(2)
The following is a DFT calculation (PBE-GGA) of a relaxed FeSiTc2 crystal.

The energy relative to the elements, uncorrected comes out at -4 kJ/mol of formula units. The electronic total energy comes out at -8.6649 eV per atom. As for the space group: R-3m (166). The mass density comes out at 8.68 g/cm3.

Cell: 8.334 8.334 8.334 Å, 18.99 18.99 18.99°
Last column: magnetic moment on the atom in μB.
Element x y z (fractional)
Fe 0.250 0.250 0.250  1.88
Si 0.750 0.750 0.750  0.01
Tc 0.001 0.001 0.001  -0.03
Tc 0.499 0.499 0.499  -0.03

=====

(3)
The following is a DFT calculation (PBE-GGA) of a relaxed Ac2YSi crystal.

The value obtained for the offset from the most stable computed form is 256 meV per atom. The energy relative to the elements, uncorrected comes out at 69 kJ/mol of formula units. The electronic total energy comes out at -4.8467 eV per atom. As for the space group: R-3m (166). The mass density comes out at 5.82 g/cm3.

Cell: 4.128 4.128 11.283 Å, 79.46 79.46 60.00°
Element x y z (fractional)
Y 0.000 0.000 0.000
Ac 0.110 0.110 0.669
Ac 0.890 0.890 0.331
Si 0.500 0.500 0.500

=====

Which value of mass density does entry 2 give?
8.68 g/cm3

=====

mass density of number 2 (FeSiTc2)?
8.68 g/cm3

=====

What did the first record say?
The following is a DFT calculation (PBE-GGA) of a relaxed CsK2Na crystal.

The value obtained for the offset from the most stable computed form is 22 meV per atom. The formation enthalpy at 0 K comes out at 0.04 eV per atom. The electronic total energy comes out at -1.0556 eV per atom. As for the space group: P4/mmm (123). The mass density comes out at 1.36 g/cm3.

Cell: 7.001 6.397 6.397 Å, 90.00 90.00 90.00°
Element x y z (fractional)
Cs 0.500 0.500 0.500
Na 0.500 0.000 0.000
K 0.000 0.000 0.500
K 0.000 0.500 0.000